Entry 1:
Density functional theory data (PBE-GGA) for a relaxed structure of ZrBeNF2.

POSCAR file:
```
ZrBeNF2
1.0
-1.958 -1.151 2.259
2.444 -1.616 1.295
1.178 4.393 3.259
Be N Zr F
1 1 1 2
direct
0.000 0.000 0.000
0.000 0.000 0.500
0.500 0.500 0.500
0.000 0.500 0.000
0.500 0.000 0.000
```

Results
Space-group type = P4/mmm
Energy above the lowest structure with this stoichiometry = 0.000 kcal/mol of atoms

---

Entry 2:
Density functional theory data (PBE-GGA) for a relaxed structure of ZrBeN2F.

POSCAR file:
```
ZrBeN2F
1.0
3.628 0.000 0.000
0.000 3.628 0.000
0.000 0.000 3.375
Be N Zr F
1 2 1 1
direct
0.000 0.000 0.000
0.000 0.500 0.000
0.500 0.000 0.000
0.500 0.500 0.500
0.000 0.000 0.500
```

Results
Space-group type = P4/mmm
Energy above the lowest structure with this stoichiometry = 0.000 kcal/mol of atoms

---

Entry 3:
Density functional theory data (PBE-GGA) for a relaxed structure of ZrBeNF2.

POSCAR file:
```
ZrBeNF2
1.0
-3.532 -0.227 -2.258
2.097 -1.925 -3.086
-0.883 -3.789 1.763
Be N Zr F
1 1 1 2
direct
0.500 0.500 0.500
0.000 0.000 0.500
0.000 0.000 0.000
0.000 0.500 0.000
0.500 0.000 0.000
```

Results
Space-group type = P4/mmm
Energy above the lowest structure with this stoichiometry = 16.581 kcal/mol of atoms

---

Entry 4:
Density functional theory data (PBE-GGA) for a relaxed structure of NaBeF2.

POSCAR file:
```
NaBeF2
1.0
0.000 2.840 2.840
2.840 0.000 2.840
2.840 2.840 0.000
Na Be F
1 1 2
direct
0.500 0.500 0.500
0.000 0.000 0.000
0.250 0.250 0.250
0.750 0.750 0.750
```

Results
Space-group type = Fm-3m

---

Entry 5:
Density functional theory data (PBE-GGA) for a relaxed structure of Na3Be5F12.

POSCAR file:
```
Na3Be5F12
1.0
10.136 0.000 0.000
-3.379 9.556 0.000
-3.379 -4.778 8.276
Na Be F
12 20 48
direct
0.750 0.375 0.125
0.875 0.750 0.125
0.375 0.750 0.625
0.250 0.125 0.375
0.875 0.125 0.250
0.375 0.625 0.250
0.625 0.375 0.750
0.125 0.875 0.750
0.750 0.875 0.625
0.625 0.250 0.375
0.125 0.250 0.875
0.250 0.625 0.875
0.125 0.375 0.250
0.000 0.500 0.000
0.000 0.000 0.000
0.375 0.250 0.125
0.500 0.000 0.500
0.500 0.500 0.000
0.125 0.750 0.375
0.750 0.125 0.875
0.750 0.625 0.375
0.375 0.125 0.750
0.625 0.875 0.250
0.500 0.500 0.500
0.500 0.000 0.000
0.000 0.000 0.500
0.250 0.375 0.625
0.250 0.875 0.125
0.000 0.500 0.500
0.875 0.250 0.625
0.625 0.750 0.875
0.875 0.625 0.750
0.686 0.109 0.999
0.312 0.499 0.390
0.001 0.391 0.314
0.499 0.186 0.109
0.578 0.686 0.688
0.001 0.610 0.188
0.312 0.814 0.422
0.110 0.922 0.109
0.610 0.001 0.688
0.686 0.578 0.188
0.814 0.501 0.391
0.812 0.890 0.999
0.109 0.686 0.499
0.391 0.390 0.078
0.078 0.890 0.391
0.422 0.109 0.610
0.078 0.188 0.186
0.501 0.688 0.110
0.812 0.922 0.314
0.109 0.422 0.110
0.391 0.001 0.814
0.610 0.609 0.422
0.890 0.812 0.499
0.814 0.312 0.922
0.390 0.391 0.578
0.110 0.188 0.501
0.186 0.688 0.078
0.188 0.078 0.686
0.609 0.999 0.186
0.891 0.578 0.890
0.499 0.312 0.890
0.578 0.891 0.390
0.922 0.812 0.814
0.922 0.110 0.609
0.891 0.314 0.501
0.188 0.110 0.001
0.609 0.610 0.922
0.390 0.999 0.312
0.314 0.422 0.812
0.186 0.499 0.609
0.890 0.078 0.891
0.688 0.186 0.578
0.501 0.814 0.891
0.999 0.390 0.812
0.422 0.314 0.312
0.999 0.609 0.686
0.688 0.501 0.610
0.314 0.891 0.001
```

Results
Space-group type = Ia-3d

---

Entry 6:
Density functional theory data (PBE-GGA) for a relaxed structure of NaBe3F.

POSCAR file:
```
NaBe3F
1.0
4.051 0.000 0.000
0.000 4.051 0.000
0.000 0.000 4.051
Na Be F
1 3 1
direct
0.500 0.500 0.500
0.000 0.500 0.000
0.000 0.000 0.500
0.500 0.000 0.000
0.000 0.000 0.000
```

Results
Space-group type = Pm-3m
Energy above the lowest structure with this stoichiometry = 0.000 kcal/mol of atoms

---

no.,total magnetic moment (μB/f.u.),total energy (eV per formula unit),uncorrected formation energy (meV/atom)
1,0.0,-33.82,-1896
2,0.0,-35.89,-1018
3,0.0,-30.23,-1177
4,0.3,-13.97,-1295
5,0.0,-100.98,-2797
6,0.0,-11.95,483